VASP calculation (PBE+U) on crystalline NpFeTeO6 at its relaxed geometry.

a = 5.4138 Å, b = 5.4138 Å, c = 9.3669 Å
α = 90.00°, β = 90.00°, γ = 120.00°
Fractional positions:
Np  0.3333  0.6667  0.2500
Np  0.6667  0.3333  0.7500
Fe  0.3333  0.6667  0.7500
Fe  0.6667  0.3333  0.2500
Te  0.0000  0.0000  0.0000
Te  0.0000  0.0000  0.5000
O  0.0130  0.3465  0.6314
O  0.0130  0.6664  0.8686
O  0.3336  0.3465  0.8686
O  0.3336  0.9870  0.6314
O  0.3465  0.0130  0.1314
O  0.3465  0.3336  0.3686
O  0.6535  0.6664  0.6314
O  0.6535  0.9870  0.8686
O  0.6664  0.0130  0.3686
O  0.6664  0.6535  0.1314
O  0.9870  0.3336  0.1314
O  0.9870  0.6535  0.3686

## Properties
Magnetization (μB per formula unit): 7.04
E (eV per cell): -134.30
N(E_F) (states/eV/f.u.): 6.94
Space-group type: P-31c